CoCuW3: relaxed, PBEsol.

a = 4.408 Å, b = 4.408 Å, c = 4.408 Å
α = 90.00°, β = 90.00°, γ = 90.00°
Last column: magnetic moment on the atom in μB.
Element x y z (fractional)
Co 0.500 0.500 0.500  1.79
Cu 0.000 0.000 0.000  0.05
W 0.000 0.500 0.000  0.07
W 0.000 0.000 0.500  0.07
W 0.500 0.000 0.000  0.07

Calculated values
Final energy   -8.537 eV/atom
SG   Pm-3m (221)

=====

Y2Co2Cu: relaxed, PBEsol.

a = 3.887 Å, b = 6.626 Å, c = 6.626 Å
α = 90.00°, β = 90.00°, γ = 90.00°
Element x y z (fractional)
Y 0.500 0.182 0.682
Y 0.500 0.682 0.818
Y 0.500 0.818 0.318
Y 0.500 0.318 0.182
Co 0.000 0.380 0.880
Co 0.000 0.880 0.620
Co 0.000 0.620 0.120
Co 0.000 0.120 0.380
Cu 0.000 0.000 0.000
Cu 0.000 0.500 0.500

Calculated values
Final energy   -6.805 eV/atom
SG   P4/mbm (127)

=====

Y2CoCu: relaxed, PBEsol.

a = 3.960 Å, b = 3.960 Å, c = 6.939 Å
α = 73.42°, β = 73.42°, γ = 60.00°
Element x y z (fractional)
Y 0.964 0.964 0.109
Y 0.786 0.786 0.641
Co 0.542 0.542 0.373
Cu 0.208 0.208 0.377

Calculated values
Final energy   -6.514 eV/atom
SG   R3m (160)

=====

Y2CoCu: relaxed, PBEsol.

a = 3.351 Å, b = 4.734 Å, c = 4.734 Å
α = 90.00°, β = 90.00°, γ = 90.00°
Last column: magnetic moment on the atom in μB.
Element x y z (fractional)
Y 0.000 0.000 0.500  -0.04
Y 0.000 0.500 0.000  -0.04
Co 0.500 0.500 0.500  0.27
Cu 0.500 0.000 0.000  0.00

Calculated values
Final energy   -6.583 eV/atom
SG   P4/mmm (123)

=====

Y2CoCu: relaxed, PBEsol.

a = 3.766 Å, b = 4.125 Å, c = 5.406 Å
α = 90.00°, β = 110.39°, γ = 90.00°
Element x y z (fractional)
Y 0.106 0.000 0.212
Y 0.388 0.500 0.776
Co 0.819 0.000 0.637
Cu 0.681 0.500 0.362

Calculated values
Final energy   -6.625 eV/atom
SG   Amm2 (38)

=====

Zn2CoCu: relaxed, PBEsol.

a = 2.665 Å, b = 2.665 Å, c = 6.651 Å
α = 90.00°, β = 90.00°, γ = 90.00°
Last column: magnetic moment on the atom in μB.
Element x y z (fractional)
Zn 0.000 0.000 0.760  -0.01
Zn 0.000 0.000 0.240  -0.01
Co 0.500 0.500 0.000  0.46
Cu 0.500 0.500 0.500  0.00

Calculated values
Final energy   -3.867 eV/atom
SG   P4/mmm (123)

=====

> Which of these has the highest final energy?

Zn2CoCu